(1)
Density functional theory data (PBE) for a relaxed Dy2Y6Tm crystal.

Cell: 9.5850 9.5850 6.5343 Å, 99.22 99.22 96.36°
Last column: nearest neighbours and their distance in Å.
Sites, in units of the cell vectors:
Dy (0.1168, 0.1618, 0.3690)  3 Dy 3.33-3.53, 7 Y 3.36-3.61
Dy (0.1618, 0.1168, 0.8690)  3 Dy 3.33-3.53, 7 Y 3.36-3.61
Dy (0.8382, 0.8832, 0.1310)  3 Dy 3.33-3.53, 7 Y 3.36-3.61
Dy (0.8832, 0.8382, 0.6310)  3 Dy 3.33-3.53, 7 Y 3.36-3.61
Y (0.0419, 0.4377, 0.7249)  6 Y 3.36-3.52, 2 Dy 3.45-3.61, 1 Tm 3.48
Y (0.1488, 0.7766, 0.9946)  5 Y 3.24-3.55, 1 Tm 3.31, 3 Dy 3.36-3.48
Y (0.2234, 0.8512, 0.5054)  5 Y 3.24-3.55, 1 Tm 3.31, 3 Dy 3.36-3.48
Y (0.2773, 0.4520, 0.1900)  3 Y 3.36-3.46, 3 Tm 3.38-3.72, 2 Dy 3.48-3.50
Y (0.4377, 0.0419, 0.2249)  6 Y 3.36-3.52, 2 Dy 3.45-3.61, 1 Tm 3.48
Y (0.4520, 0.2773, 0.6900)  3 Y 3.36-3.46, 3 Tm 3.38-3.72, 2 Dy 3.48-3.50
Y (0.5480, 0.7227, 0.3100)  3 Y 3.36-3.46, 3 Tm 3.38-3.72, 2 Dy 3.48-3.50
Y (0.5623, 0.9581, 0.7751)  6 Y 3.36-3.52, 2 Dy 3.45-3.61, 1 Tm 3.48
Y (0.7227, 0.5480, 0.8100)  3 Y 3.36-3.46, 3 Tm 3.38-3.72, 2 Dy 3.48-3.50
Y (0.7766, 0.1488, 0.4946)  5 Y 3.24-3.55, 1 Tm 3.31, 3 Dy 3.36-3.48
Y (0.8512, 0.2234, 0.0054)  5 Y 3.24-3.55, 1 Tm 3.31, 3 Dy 3.36-3.48
Y (0.9581, 0.5623, 0.2751)  6 Y 3.36-3.52, 2 Dy 3.45-3.61, 1 Tm 3.48
Tm (0.3817, 0.6183, 0.7500)  8 Y 3.31-3.68
Tm (0.6183, 0.3817, 0.2500)  8 Y 3.31-3.68

Results
size of the total moment = 0.00 μB per formula unit
DFT formation energy = 0.94 eV per formula unit
energy above the most stable polymorph in this dataset = 40 meV per atom
raw total energy = -5.724 eV per atom


(2)
Density functional theory data (PBE) for a relaxed Dy6Y4Tm crystal.

Cell: 9.7127 9.7127 9.7127 Å, 140.72 140.72 56.77°
Last column: nearest neighbours and their distance in Å.
Sites, in units of the cell vectors:
Dy (0.0000, 0.5000, 0.5000)  2 Tm 3.26, 4 Dy 3.27
Dy (0.0488, 0.6917, 0.0000)  3 Dy 3.27-3.30, 5 Y 3.35-3.52
Dy (0.3083, 0.3083, 0.3571)  3 Dy 3.27-3.30, 5 Y 3.35-3.52
Dy (0.5000, 0.0000, 0.5000)  2 Tm 3.26, 4 Dy 3.27
Dy (0.6917, 0.0488, 0.0000)  3 Dy 3.27-3.30, 5 Y 3.35-3.52
Dy (0.9512, 0.9512, 0.6429)  3 Dy 3.27-3.30, 5 Y 3.35-3.52
Y (0.1391, 0.1391, 0.6266)  5 Dy 3.35-3.52, 1 Tm 3.44, 1 Y 3.45
Y (0.4875, 0.8609, 0.0000)  5 Dy 3.35-3.52, 1 Tm 3.44, 1 Y 3.45
Y (0.5125, 0.5125, 0.3734)  5 Dy 3.35-3.52, 1 Tm 3.44, 1 Y 3.45
Y (0.8609, 0.4875, 0.0000)  5 Dy 3.35-3.52, 1 Tm 3.44, 1 Y 3.45
Tm (0.5000, 0.5000, 0.0000)  4 Dy 3.26, 4 Y 3.44

Results
size of the total moment = 0.00 μB per formula unit
DFT formation energy = 3.22 eV per formula unit
energy above the most stable polymorph in this dataset = 0 meV per atom
raw total energy = -4.974 eV per atom


(3)
Density functional theory data (PBE) for a relaxed DyY6Tm5 crystal.

Cell: 6.1168 6.1168 11.7220 Å, 94.97 94.97 119.91°
Last column: nearest neighbours and their distance in Å.
Sites, in units of the cell vectors:
Dy (0.0000, 0.0000, 0.0000)  6 Tm 3.53, 6 Y 3.54
Y (0.0832, 0.4167, 0.2505)  5 Tm 3.53-3.54, 6 Y 3.53-3.54, 1 Dy 3.54
Y (0.2504, 0.2504, 0.7496)  5 Tm 3.53-3.54, 6 Y 3.53-3.54, 1 Dy 3.54
Y (0.4167, 0.0832, 0.2505)  5 Tm 3.53-3.54, 6 Y 3.53-3.54, 1 Dy 3.54
Y (0.5833, 0.9168, 0.7495)  5 Tm 3.53-3.54, 6 Y 3.53-3.54, 1 Dy 3.54
Y (0.7496, 0.7496, 0.2504)  5 Tm 3.53-3.54, 6 Y 3.53-3.54, 1 Dy 3.54
Y (0.9168, 0.5833, 0.7495)  5 Tm 3.53-3.54, 6 Y 3.53-3.54, 1 Dy 3.54
Tm (0.1668, 0.8332, 0.5000)  6 Y 3.53, 6 Tm 3.53-3.54
Tm (0.3333, 0.6667, 0.0000)  3 Dy 3.53, 3 Tm 3.53, 6 Y 3.54
Tm (0.5000, 0.5000, 0.5000)  6 Y 3.53, 6 Tm 3.53-3.54
Tm (0.6667, 0.3333, 0.0000)  3 Dy 3.53, 3 Tm 3.53, 6 Y 3.54
Tm (0.8332, 0.1668, 0.5000)  6 Y 3.53, 6 Tm 3.53-3.54

Results
size of the total moment = 0.00 μB per formula unit
DFT formation energy = 0.34 eV per formula unit
raw total energy = -5.450 eV per atom


(4)
Density functional theory data (PBE) for a relaxed Dy5YTm2 crystal.

Cell: 7.0658 14.1320 4.9888 Å, 90.00 90.00 90.00°
Last column: nearest neighbours and their distance in Å.
Sites, in units of the cell vectors:
Dy (0.0000, 0.0000, 0.0000)  6 Dy 3.53, 4 Tm 3.53, 2 Y 3.53
Dy (0.9995, 0.2494, 0.0000)  4 Tm 3.52-3.53, 7 Dy 3.52-3.53, 1 Y 3.54
Dy (0.0005, 0.7506, 0.0000)  4 Tm 3.52-3.53, 7 Dy 3.52-3.53, 1 Y 3.54
Dy (0.2492, 0.1254, 0.5000)  6 Dy 3.52-3.53, 4 Tm 3.52-3.54, 2 Y 3.54
Dy (0.2508, 0.6254, 0.5000)  6 Dy 3.52-3.53, 4 Tm 3.52-3.54, 2 Y 3.54
Dy (0.4995, 0.2506, 0.0000)  4 Tm 3.52-3.53, 7 Dy 3.52-3.53, 1 Y 3.54
Dy (0.5000, 0.5000, 0.0000)  6 Dy 3.53, 4 Tm 3.53, 2 Y 3.53
Dy (0.5005, 0.7494, 0.0000)  4 Tm 3.52-3.53, 7 Dy 3.52-3.53, 1 Y 3.54
Dy (0.7492, 0.3746, 0.5000)  6 Dy 3.52-3.53, 4 Tm 3.52-3.54, 2 Y 3.54
Dy (0.7508, 0.8746, 0.5000)  6 Dy 3.52-3.53, 4 Tm 3.52-3.54, 2 Y 3.54
Y (0.0000, 0.5000, 0.0000)  4 Tm 3.53, 8 Dy 3.53-3.54
Y (0.5000, 0.0000, 0.0000)  4 Tm 3.53, 8 Dy 3.53-3.54
Tm (0.2502, 0.3747, 0.5000)  10 Dy 3.52-3.54, 2 Y 3.53
Tm (0.2498, 0.8747, 0.5000)  10 Dy 3.52-3.54, 2 Y 3.53
Tm (0.7502, 0.1253, 0.5000)  10 Dy 3.52-3.54, 2 Y 3.53
Tm (0.7498, 0.6253, 0.5000)  10 Dy 3.52-3.54, 2 Y 3.53

Results
size of the total moment = 0.00 μB per formula unit
DFT formation energy = 0.15 eV per formula unit
energy above the most stable polymorph in this dataset = 0 meV per atom
raw total energy = -4.783 eV per atom


(5)
Density functional theory data (PBE) for a relaxed Dy4Y4Tm5 crystal.

Cell: 9.3436 9.3436 9.3436 Å, 94.08 94.08 149.06°
Last column: nearest neighbours and their distance in Å.
Sites, in units of the cell vectors:
Dy (0.0770, 0.6151, 0.6921)  5 Dy 3.53, 4 Y 3.53-3.54, 3 Tm 3.54
Dy (0.3849, 0.0770, 0.4619)  5 Dy 3.53, 4 Y 3.53-3.54, 3 Tm 3.54
Dy (0.6151, 0.9230, 0.5381)  5 Dy 3.53, 4 Y 3.53-3.54, 3 Tm 3.54
Dy (0.9230, 0.3849, 0.3079)  5 Dy 3.53, 4 Y 3.53-3.54, 3 Tm 3.54
Y (0.1530, 0.2297, 0.3827)  6 Tm 3.51-3.56, 4 Dy 3.53-3.54, 2 Y 3.55
Y (0.2297, 0.8470, 0.0767)  6 Tm 3.51-3.56, 4 Dy 3.53-3.54, 2 Y 3.55
Y (0.7703, 0.1530, 0.9233)  6 Tm 3.51-3.56, 4 Dy 3.53-3.54, 2 Y 3.55
Y (0.8470, 0.7703, 0.6173)  6 Tm 3.51-3.56, 4 Dy 3.53-3.54, 2 Y 3.55
Tm (0.0000, 0.0000, 0.0000)  4 Y 3.51, 8 Tm 3.52
Tm (0.3087, 0.4621, 0.7708)  4 Tm 3.51-3.52, 5 Y 3.52-3.56, 3 Dy 3.54
Tm (0.4621, 0.6913, 0.1534)  4 Tm 3.51-3.52, 5 Y 3.52-3.56, 3 Dy 3.54
Tm (0.5379, 0.3087, 0.8466)  4 Tm 3.51-3.52, 5 Y 3.52-3.56, 3 Dy 3.54
Tm (0.6913, 0.5379, 0.2292)  4 Tm 3.51-3.52, 5 Y 3.52-3.56, 3 Dy 3.54

Results
size of the total moment = 0.00 μB per formula unit
DFT formation energy = 0.32 eV per formula unit
raw total energy = -5.100 eV per atom


(6)
Density functional theory data (PBE) for a relaxed Dy6YTm12 crystal.

Cell: 9.2342 9.2342 9.2342 Å, 107.98 107.98 107.98°
Last column: nearest neighbours and their distance in Å.
Sites, in units of the cell vectors:
Dy (0.2641, 0.6830, 0.6830)  5 Tm 3.09-3.38
Dy (0.3170, 0.3170, 0.7359)  5 Tm 3.09-3.38
Dy (0.3170, 0.7359, 0.3170)  5 Tm 3.09-3.38
Dy (0.6830, 0.2641, 0.6830)  5 Tm 3.09-3.38
Dy (0.6830, 0.6830, 0.2641)  5 Tm 3.09-3.38
Dy (0.7359, 0.3170, 0.3170)  5 Tm 3.09-3.38
Y (0.0000, 0.0000, 0.0000)  6 Tm 3.39
Tm (0.1104, 0.5000, 0.8896)  4 Dy 3.27-3.38, 5 Tm 3.30-3.61
Tm (0.1104, 0.8896, 0.5000)  4 Dy 3.27-3.38, 5 Tm 3.30-3.61
Tm (0.1396, 0.3576, 0.3576)  1 Dy 3.09, 2 Tm 3.26, 1 Y 3.39
Tm (0.3576, 0.1396, 0.3576)  1 Dy 3.09, 2 Tm 3.26, 1 Y 3.39
Tm (0.3576, 0.3576, 0.1396)  1 Dy 3.09, 2 Tm 3.26, 1 Y 3.39
Tm (0.5000, 0.1104, 0.8896)  4 Dy 3.27-3.38, 5 Tm 3.30-3.61
Tm (0.5000, 0.8896, 0.1104)  4 Dy 3.27-3.38, 5 Tm 3.30-3.61
Tm (0.6424, 0.6424, 0.8604)  1 Dy 3.09, 2 Tm 3.26, 1 Y 3.39
Tm (0.6424, 0.8604, 0.6424)  1 Dy 3.09, 2 Tm 3.26, 1 Y 3.39
Tm (0.8604, 0.6424, 0.6424)  1 Dy 3.09, 2 Tm 3.26, 1 Y 3.39
Tm (0.8896, 0.1104, 0.5000)  4 Dy 3.27-3.38, 5 Tm 3.30-3.61
Tm (0.8896, 0.5000, 0.1104)  4 Dy 3.27-3.38, 5 Tm 3.30-3.61

Results
size of the total moment = 0.00 μB per formula unit
DFT formation energy = 8.63 eV per formula unit
energy above the most stable polymorph in this dataset = 326 meV per atom
raw total energy = -4.163 eV per atom


(7)
Density functional theory data (PBE) for a relaxed Dy5Y3Tm crystal.

Cell: 9.4684 9.4684 9.9343 Å, 121.05 121.05 73.90°
Last column: nearest neighbours and their distance in Å.
Sites, in units of the cell vectors:
Dy (0.0920, 0.5955, 0.2479)  3 Dy 3.29-3.68, 2 Y 3.49-3.57
Dy (0.2226, 0.2226, 0.2343)  3 Y 3.20-3.33, 3 Dy 3.30-3.36, 1 Tm 3.41
Dy (0.2432, 0.7568, 0.0000)  1 Y 2.92
Dy (0.2791, 0.2791, 0.9641)  3 Y 3.12-3.31, 3 Dy 3.29-3.30, 1 Tm 3.32
Dy (0.4045, 0.9080, 0.7521)  3 Dy 3.29-3.68, 2 Y 3.49-3.57
Dy (0.5955, 0.0920, 0.2479)  3 Dy 3.29-3.68, 2 Y 3.49-3.57
Dy (0.7209, 0.7209, 0.0359)  3 Y 3.12-3.31, 3 Dy 3.29-3.30, 1 Tm 3.32
Dy (0.7568, 0.2432, 0.0000)  1 Y 2.92
Dy (0.7774, 0.7774, 0.7657)  3 Y 3.20-3.33, 3 Dy 3.30-3.36, 1 Tm 3.41
Dy (0.9080, 0.4045, 0.7521)  3 Dy 3.29-3.68, 2 Y 3.49-3.57
Y (0.0000, 0.0000, 0.5000)  2 Y 3.06, 2 Tm 3.20
Y (0.0114, 0.0114, 0.8192)  1 Y 3.06, 5 Dy 3.20-3.36, 1 Tm 3.42
Y (0.4794, 0.4794, 0.6384)  2 Y 3.19-3.40, 2 Dy 3.21-3.33, 1 Tm 3.28
Y (0.5000, 0.5000, 0.0000)  4 Dy 2.92-3.12, 2 Tm 3.27
Y (0.5206, 0.5206, 0.3616)  2 Y 3.19-3.40, 2 Dy 3.21-3.33, 1 Tm 3.28
Y (0.9886, 0.9886, 0.1808)  1 Y 3.06, 5 Dy 3.20-3.36, 1 Tm 3.42
Tm (0.2482, 0.2482, 0.6018)  4 Y 3.20-3.42, 2 Dy 3.32-3.41
Tm (0.7518, 0.7518, 0.3982)  4 Y 3.20-3.42, 2 Dy 3.32-3.41

Results
size of the total moment = 0.00 μB per formula unit
DFT formation energy = 4.86 eV per formula unit
energy above the most stable polymorph in this dataset = 245 meV per atom
raw total energy = -4.669 eV per atom


(8)
Density functional theory data (PBE) for a relaxed DyY5Tm5 crystal.

Cell: 9.8392 9.8392 6.9066 Å, 110.37 110.37 34.72°
Last column: nearest neighbours and their distance in Å.
Sites, in units of the cell vectors:
Dy (0.0000, 0.0000, 0.0000)  2 Y 2.94
Y (0.1791, 0.1791, 0.4254)  5 Tm 3.20-3.56, 2 Y 3.40-3.51, 1 Dy 3.57
Y (0.1791, 0.1791, 0.9334)  5 Tm 3.20-3.56, 2 Y 3.40-3.51, 1 Dy 3.56
Y (0.5000, 0.5000, 0.0000)  2 Dy 2.94, 2 Tm 2.94
Y (0.8209, 0.8209, 0.0666)  5 Tm 3.20-3.56, 2 Y 3.40-3.51, 1 Dy 3.56
Y (0.8209, 0.8209, 0.5746)  5 Tm 3.20-3.56, 2 Y 3.40-3.51, 1 Dy 3.57
Tm (0.0000, 0.0000, 0.5000)  2 Dy 3.45, 4 Y 3.58-3.60, 4 Tm 3.63
Tm (0.3319, 0.3319, 0.8309)  3 Y 2.94-3.20
Tm (0.3775, 0.3775, 0.3763)  4 Tm 3.54-3.63, 6 Y 3.56-3.86
Tm (0.6225, 0.6225, 0.6237)  4 Tm 3.54-3.63, 6 Y 3.56-3.86
Tm (0.6681, 0.6681, 0.1691)  3 Y 2.94-3.20

Results
size of the total moment = 0.98 μB per formula unit
DFT formation energy = 3.19 eV per formula unit
energy above the most stable polymorph in this dataset = 134 meV per atom
raw total energy = -5.100 eV per atom